Record 1
A plane-wave DFT calculation with PBE was carried out for an optimized crystal structure of BaLiRe2Au.

a b c (Å): 5.3466 5.9586 5.3466
angles (deg): 90.00 90.00 90.00
Closest atoms and distances in Å follow each position.
Element x y z (fractional)
Au (0.0000, 0.5000, 0.0000)  2 Ba 2.98
Re (0.0000, 0.0000, 0.5000)  2 Ba 2.67
Re (0.5000, 0.0000, 0.0000)  2 Ba 2.67
Ba (0.0000, 0.0000, 0.0000)  4 Re 2.67, 2 Au 2.98
Li (0.5000, 0.5000, 0.5000)  4 Au 3.78, 8 Re 4.00

Computed properties:
The value obtained for the energy relative to the elements is 13.7 eV per formula unit. The symmetry is P4/mmm (123). The value obtained for the raw total energy is -3.65 eV per atom. Its magnetic moment is 1.13 μB/atom.

---

Record 2
A plane-wave DFT calculation with PBE was carried out for an optimized crystal structure of La6CeNd.

a b c (Å): 6.9948 6.5994 7.0204
angles (deg): 90.88 60.11 91.94
Closest atoms and distances in Å follow each position.
Element x y z (fractional)
La (0.0999, 0.7537, 0.4474)  3 La 3.15-3.53
La (0.4503, 0.2696, 0.9993)  3 La 3.10-3.15
La (0.9001, 0.2463, 0.5526)  3 La 3.15-3.53
La (0.4538, 0.2465, 0.4457)  3 La 3.15-3.53
La (0.5462, 0.7535, 0.5543)  3 La 3.15-3.53
La (0.5497, 0.7304, 0.0007)  3 La 3.10-3.15
Nd (0.0000, 0.0000, 0.0000)  2 Ce 3.30, 2 La 3.56
Ce (0.0000, 0.5000, 0.0000)  2 Nd 3.30, 2 La 3.54

Computed properties:
The value obtained for the energy relative to the elements is 1.2 eV per formula unit. The symmetry is P-1 (2). Its offset from the most stable computed form is 116 meV/atom. The value obtained for the raw total energy is -4.89 eV per atom. Its magnetic moment is 0.10 μB/atom.

---

Record 3
A plane-wave DFT calculation with PBE was carried out for an optimized crystal structure of Ta2TcHW.

a b c (Å): 4.5032 4.5032 3.4280
angles (deg): 90.00 90.00 90.00
Closest atoms and distances in Å follow each position.
Element x y z (fractional)
W (0.5000, 0.5000, 0.5000)  8 Ta 2.83
Tc (0.0000, 0.0000, 0.5000)  2 H 1.71
H (0.0000, 0.0000, 0.0000)  2 Tc 1.71
Ta (0.5000, 0.0000, 0.0000)  2 H 2.25
Ta (0.0000, 0.5000, 0.0000)  2 H 2.25

Computed properties:
The symmetry is P4/mmm (123). Its offset from the most stable computed form is 0 meV/atom. The value obtained for the raw total energy is -10.17 eV per atom. Its magnetic moment is 0.00 μB/atom.

---

Record 4
A plane-wave DFT calculation with PBE was carried out for an optimized crystal structure of Pm6Sm12Er.

a b c (Å): 8.6782 8.6782 8.6782
angles (deg): 89.14 89.14 89.14
Closest atoms and distances in Å follow each position.
Element x y z (fractional)
Pm (0.7383, 0.9056, 0.3024)  7 Sm 3.40-3.74, 1 Er 3.54, 2 Pm 3.57
Pm (0.6976, 0.2617, 0.0944)  7 Sm 3.40-3.74, 1 Er 3.54, 2 Pm 3.57
Pm (0.3024, 0.7383, 0.9056)  7 Sm 3.40-3.74, 1 Er 3.54, 2 Pm 3.57
Pm (0.9056, 0.3024, 0.7383)  7 Sm 3.40-3.74, 1 Er 3.54, 2 Pm 3.57
Pm (0.0944, 0.6976, 0.2617)  7 Sm 3.40-3.74, 1 Er 3.54, 2 Pm 3.57
Pm (0.2617, 0.0944, 0.6976)  7 Sm 3.40-3.74, 1 Er 3.54, 2 Pm 3.57
Sm (0.1949, 0.3588, 0.0168)  4 Sm 3.48-3.66, 4 Pm 3.55-3.74, 1 Er 3.57
Sm (0.0168, 0.1949, 0.3588)  4 Sm 3.48-3.66, 4 Pm 3.55-3.74, 1 Er 3.57
Sm (0.2217, 0.4632, 0.5639)  6 Sm 3.33-3.71, 3 Pm 3.40-3.48
Sm (0.4361, 0.7783, 0.5368)  6 Sm 3.33-3.71, 3 Pm 3.40-3.48
Sm (0.3588, 0.0168, 0.1949)  4 Sm 3.48-3.66, 4 Pm 3.55-3.74, 1 Er 3.57
Sm (0.4632, 0.5639, 0.2217)  6 Sm 3.33-3.71, 3 Pm 3.40-3.48
Sm (0.5368, 0.4361, 0.7783)  6 Sm 3.33-3.71, 3 Pm 3.40-3.48
Sm (0.7783, 0.5368, 0.4361)  6 Sm 3.33-3.71, 3 Pm 3.40-3.48
Sm (0.6412, 0.9832, 0.8051)  4 Sm 3.48-3.66, 4 Pm 3.55-3.74, 1 Er 3.57
Sm (0.5639, 0.2217, 0.4632)  6 Sm 3.33-3.71, 3 Pm 3.40-3.48
Sm (0.9832, 0.8051, 0.6412)  4 Sm 3.48-3.66, 4 Pm 3.55-3.74, 1 Er 3.57
Sm (0.8051, 0.6412, 0.9832)  4 Sm 3.48-3.66, 4 Pm 3.55-3.74, 1 Er 3.57
Er (0.0000, 0.0000, 0.0000)  6 Pm 3.54, 6 Sm 3.57

Computed properties:
The value obtained for the energy relative to the elements is 2.6 eV per formula unit. The symmetry is R-3 (148). Its offset from the most stable computed form is 0 meV/atom. The value obtained for the raw total energy is -4.58 eV per atom. Its magnetic moment is 0.00 μB/atom.

---

Record 5
A plane-wave DFT calculation with PBE was carried out for an optimized crystal structure of Er3ScTl4Te8.

a b c (Å): 8.7644 9.6190 8.7657
angles (deg): 117.11 120.00 90.00
Closest atoms and distances in Å follow each position.
Element x y z (fractional)
Te (0.7684, 0.2922, 0.5368)  1 Sc 2.99, 2 Er 3.08
Te (0.7682, 0.2920, 0.0236)  1 Sc 2.99, 2 Er 3.08
Te (0.2318, 0.7080, 0.9764)  1 Sc 2.99, 2 Er 3.08
Te (0.2316, 0.7078, 0.4632)  1 Sc 2.99, 2 Er 3.08
Te (0.7446, 0.7080, 0.9764)  1 Sc 2.99, 2 Er 3.08
Te (0.2623, 0.2873, 0.5247)  3 Er 3.07
Te (0.7377, 0.7127, 0.4753)  3 Er 3.07
Te (0.2554, 0.2920, 0.0236)  1 Sc 2.99, 2 Er 3.08
Tl (0.5000, 0.0000, 0.0000)  6 Te 3.53
Tl (0.0000, 0.0000, 0.0000)  6 Te 3.45-3.46
Tl (0.5000, 0.0000, 0.5000)  6 Te 3.45-3.46
Tl (0.0000, 0.0000, 0.5000)  6 Te 3.45-3.46
Er (0.5000, 0.5000, 0.0000)  6 Te 3.07-3.08
Er (0.5000, 0.5000, 0.5000)  6 Te 3.07-3.08
Er (0.0000, 0.5000, 0.5000)  6 Te 3.07-3.08
Sc (0.0000, 0.5000, 0.0000)  6 Te 2.99

Computed properties:
As for the energy relative to the elements, uncorrected: -1006 meV/atom. The symmetry is R-3m (166). The value obtained for the raw total energy is -4.42 eV per atom. Its magnetic moment is 0.00 μB/atom.

---

Record 6
A plane-wave DFT calculation with PBE was carried out for an optimized crystal structure of TlPtRh3.

a b c (Å): 4.8336 4.8336 4.8336
angles (deg): 90.00 90.00 90.00
Closest atoms and distances in Å follow each position.
Element x y z (fractional)
Rh (0.0000, 0.0000, 0.5000)  2 Pt 2.42
Rh (0.0000, 0.5000, 0.0000)  2 Pt 2.42
Rh (0.5000, 0.0000, 0.0000)  2 Pt 2.42
Pt (0.0000, 0.0000, 0.0000)  6 Rh 2.42
Tl (0.5000, 0.5000, 0.5000)  12 Rh 3.42

Computed properties:
The value obtained for the energy relative to the elements is 5.7 eV per formula unit. The symmetry is Pm-3m (221). Its offset from the most stable computed form is 0 meV/atom. The value obtained for the raw total energy is -4.96 eV per atom. Its magnetic moment is 0.39 μB/atom.

---

Record 7
A plane-wave DFT calculation with PBE was carried out for an optimized crystal structure of HoIn2Au8.

a b c (Å): 4.1839 6.8181 8.1373
angles (deg): 105.53 104.90 90.00
Closest atoms and distances in Å follow each position.
Element x y z (fractional)
Au (0.3240, 0.0895, 0.6479)  3 In 2.92-2.94, 8 Au 2.99-3.17, 1 Ho 3.00
Au (0.0397, 0.7234, 0.0793)  9 Au 2.96-3.13, 2 Ho 3.00, 1 In 3.01
Au (0.6760, 0.9105, 0.3521)  3 In 2.92-2.94, 8 Au 2.99-3.17, 1 Ho 3.00
Au (0.5951, 0.4564, 0.1903)  3 In 2.95-3.19, 8 Au 2.98-3.21, 1 Ho 3.06
Au (0.8610, 0.8108, 0.7221)  7 Au 2.98-3.17, 3 In 3.00-3.10, 2 Ho 3.04
Au (0.4049, 0.5436, 0.8097)  3 In 2.95-3.19, 8 Au 2.98-3.21, 1 Ho 3.06
Au (0.1390, 0.1892, 0.2779)  7 Au 2.98-3.17, 3 In 3.00-3.10, 2 Ho 3.04
Au (0.9603, 0.2766, 0.9207)  9 Au 2.96-3.13, 2 Ho 3.00, 1 In 3.01
In (0.7786, 0.3424, 0.5572)  10 Au 2.92-3.19
In (0.2214, 0.6576, 0.4428)  10 Au 2.92-3.19
Ho (0.5000, 0.0000, 0.0000)  12 Au 3.00-3.06

Computed properties:
The value obtained for the energy relative to the elements is -3.4 eV per formula unit. The symmetry is C2/m (12). Its offset from the most stable computed form is 0 meV/atom. The value obtained for the raw total energy is -3.60 eV per atom. Its magnetic moment is 0.00 μB/atom.

---

Record 8
A plane-wave DFT calculation with PBE was carried out for an optimized crystal structure of KRb6Au4.

a b c (Å): 5.8052 5.8052 15.8913
angles (deg): 100.52 100.52 90.00
Closest atoms and distances in Å follow each position.
Element x y z (fractional)
Rb (0.6100, 0.1101, 0.2201)  4 Au 3.52-3.61
Rb (0.7500, 0.2500, 0.5000)  4 Au 3.62
Rb (0.1100, 0.6100, 0.2201)  4 Au 3.52-3.61
Rb (0.2500, 0.7500, 0.5000)  4 Au 3.62
Rb (0.8900, 0.3900, 0.7799)  4 Au 3.52-3.61
Rb (0.3900, 0.8899, 0.7799)  4 Au 3.52-3.61
Au (0.4547, 0.4547, 0.9093)  1 Au 2.78
Au (0.5453, 0.5453, 0.0907)  1 Au 2.78
Au (0.8203, 0.8203, 0.6406)  8 Rb 3.61-3.62
Au (0.1797, 0.1797, 0.3594)  8 Rb 3.61-3.62
K (0.0000, 0.0000, 0.0000)  8 Au 4.33, 8 Rb 4.45

Computed properties:
The value obtained for the energy relative to the elements is -1.8 eV per formula unit. The symmetry is I4/mmm (139). The value obtained for the raw total energy is -1.98 eV per atom. Its magnetic moment is 0.09 μB/atom.

---

Record 9
A plane-wave DFT calculation with PBE was carried out for an optimized crystal structure of Ho4TeS2.

a b c (Å): 3.9359 3.9359 13.2928
angles (deg): 81.49 81.49 60.00
Closest atoms and distances in Å follow each position.
Element x y z (fractional)
Ho (0.2800, 0.2800, 0.1600)  3 S 2.70
Ho (0.8700, 0.8700, 0.3900)  3 S 2.75
Ho (0.1300, 0.1300, 0.6100)  3 S 2.75
Ho (0.7200, 0.7200, 0.8400)  3 S 2.70
S (0.5761, 0.5761, 0.2716)  6 Ho 2.70-2.75
S (0.4239, 0.4239, 0.7284)  6 Ho 2.70-2.75
Te (0.0000, 0.0000, 0.0000)  6 Ho 3.09

Computed properties:
As for the energy relative to the elements, uncorrected: -1474 meV/atom. The symmetry is R-3m (166). The value obtained for the raw total energy is -5.72 eV per atom. Its magnetic moment is 0.00 μB/atom.

---

Record 10
A plane-wave DFT calculation with PBE was carried out for an optimized crystal structure of LiMgSc2C.

a b c (Å): 4.5165 4.5165 4.5761
angles (deg): 90.00 90.00 90.00
Closest atoms and distances in Å follow each position.
Element x y z (fractional)
Li (0.0000, 0.0000, 0.5000)  2 C 2.29
Sc (0.5000, 0.0000, 0.0000)  2 C 2.26
Sc (0.0000, 0.5000, 0.0000)  2 C 2.26
C (0.0000, 0.0000, 0.0000)  4 Sc 2.26, 2 Li 2.29
Mg (0.5000, 0.5000, 0.5000)  4 Li 3.19, 8 Sc 3.21

Computed properties:
The value obtained for the energy relative to the elements is -0.4 eV per formula unit. The symmetry is P4/mmm (123). Its offset from the most stable computed form is 7 meV/atom. The value obtained for the raw total energy is -5.16 eV per atom. Its magnetic moment is 0.00 μB/atom.